Be2TcO | PBE | relaxed

a = 4.9745 Å, b = 4.9745 Å, c = 4.8327 Å
α = 59.02°, β = 59.02°, γ = 90.00°
Last column: nearest neighbours and their distance in Å.
Fractional coordinates of all 8 atoms:
Be (0.3750, 0.5069, 0.7500)  2 O 1.61
Tc (0.0000, 0.0000, 0.0000)  4 Be 2.42
Be (0.8750, 0.7431, 0.7500)  2 O 1.61
O (0.5000, 0.5000, 0.0000)  4 Be 1.61
Be (0.2569, 0.6250, 0.2500)  2 O 1.61
Tc (0.7500, 0.2500, 0.5000)  4 Be 2.42
Be (0.4931, 0.1250, 0.2500)  2 O 1.61
O (0.2500, 0.7500, 0.5000)  4 Be 1.61

Values from the calculation:
Symmetry = No. 122
M_tot = 0.000 μB per atom
E_tot = -0.45851 Ry per atom

=====

PmSmErTm3 | PBE | relaxed

a = 5.0089 Å, b = 7.9168 Å, c = 10.0204 Å
α = 90.00°, β = 90.00°, γ = 108.44°
Last column: nearest neighbours and their distance in Å.
Fractional coordinates of all 12 atoms:
Sm (0.0000, 0.0000, 0.0000)  4 Pm 3.54, 2 Er 3.56, 6 Tm 3.56
Pm (0.4998, 0.9997, 0.2500)  4 Sm 3.54, 6 Tm 3.56, 2 Er 3.56
Tm (0.3316, 0.6633, 0.5000)  5 Tm 3.51-3.54, 3 Er 3.51-3.54, 2 Pm 3.56, 2 Sm 3.56
Er (0.8317, 0.6635, 0.7500)  8 Tm 3.51-3.54, 2 Sm 3.56, 2 Pm 3.56
Er (0.1683, 0.3365, 0.2500)  8 Tm 3.51-3.54, 2 Sm 3.56, 2 Pm 3.56
Tm (0.6684, 0.3367, 0.5000)  5 Tm 3.51-3.54, 3 Er 3.51-3.54, 2 Pm 3.56, 2 Sm 3.56
Tm (0.8316, 0.6633, 0.2500)  6 Tm 3.51-3.54, 2 Er 3.51, 2 Pm 3.56, 2 Sm 3.56
Tm (0.6683, 0.3367, 0.0000)  5 Tm 3.51-3.54, 3 Er 3.51-3.54, 2 Pm 3.56, 2 Sm 3.56
Sm (0.0000, 0.0000, 0.5000)  4 Pm 3.54, 2 Er 3.56, 6 Tm 3.56
Pm (0.5002, 0.0003, 0.7500)  4 Sm 3.54, 6 Tm 3.56, 2 Er 3.56
Tm (0.1684, 0.3367, 0.7500)  6 Tm 3.51-3.54, 2 Er 3.51, 2 Pm 3.56, 2 Sm 3.56
Tm (0.3317, 0.6633, 0.0000)  5 Tm 3.51-3.54, 3 Er 3.51-3.54, 2 Pm 3.56, 2 Sm 3.56

Values from the calculation:
Energy relative to the elements = 25 meV per atom
Symmetry = No. 63
M_tot = 0.000 μB per atom
E_tot = -0.33442 Ry per atom

=====

Ca3VCo | PBE | relaxed

a = 5.6572 Å, b = 5.6572 Å, c = 5.6572 Å
α = 90.00°, β = 90.00°, γ = 90.00°
Last column: nearest neighbours and their distance in Å.
Fractional coordinates of all 5 atoms:
Co (0.5000, 0.5000, 0.5000)  12 Ca 4.00
V (0.0000, 0.0000, 0.0000)  6 Ca 2.83
Ca (0.0000, 0.5000, 0.0000)  2 V 2.83
Ca (0.0000, 0.0000, 0.5000)  2 V 2.83
Ca (0.5000, 0.0000, 0.0000)  2 V 2.83

Values from the calculation:
Energy relative to the elements = 1210 meV per atom
Symmetry = No. 221
M_tot = 1.374 μB per atom
E_tot = -0.23784 Ry per atom

=====

Ba2OsBr | PBE | relaxed

a = 5.5263 Å, b = 5.5263 Å, c = 5.5263 Å
α = 60.00°, β = 60.00°, γ = 60.00°
Last column: nearest neighbours and their distance in Å.
Fractional coordinates of all 4 atoms:
Br (0.5000, 0.5000, 0.5000)  4 Ba 3.38, 4 Os 3.38
Ba (0.2500, 0.2500, 0.2500)  4 Ba 3.38, 4 Br 3.38
Os (0.7500, 0.7500, 0.7500)  4 Ba 3.38, 4 Br 3.38
Ba (0.0000, 0.0000, 0.0000)  4 Os 3.38, 4 Ba 3.38

Values from the calculation:
Symmetry = No. 216
M_tot = 0.250 μB per atom
E_tot = -0.27013 Ry per atom

=====

Number 3 is which compound?
Ca3VCo

=====

What is the formula in the third record?
Ca3VCo

=====

The highest E_tot belongs to which entry?
Ca3VCo